6
Lattice="5.1233 -0.5057 1.5859 -0.3884 5.3987 1.4486 1.2097 1.2435 4.8477" Properties=species:S:1:pos:R:3 comment="Pu4GeRu | Alexandria via LeMat-Bulk | GGA-PBE | relaxed" energy_ev_per_atom=-12.012 de_polymorph_ev_per_atom=0.0000 formation_enthalpy_0k_ev_per_atom=-0.14 magmom_total_mub_per_fu=1.498 pbc="T T T"
Pu 3.1349 4.6337 3.4864
Pu 2.8168 1.4640 4.3756
Pu 0.9844 3.1742 4.3939
Pu 4.9749 2.9312 3.4645
Ge 0.2203 6.0040 3.8617
Ru 3.5842 3.6707 6.3540

---

3
Lattice="3.6144 0.0000 0.0000 1.8072 3.1302 0.0000 1.8072 1.0434 2.9512" Properties=species:S:1:pos:R:3 comment="BeFeCo | Alexandria via LeMat-Bulk | GGA-PBE | relaxed" energy_ev_per_atom=-6.161 de_polymorph_ev_per_atom=0.4097 formation_enthalpy_0k_ev_per_atom=0.27 magmom_total_mub_per_fu=3.800 pbc="T T T"
Be 5.4217 3.1302 2.2134
Co 0.0000 0.0000 0.0000
Fe 3.6144 2.0868 1.4756

---

4
Lattice="3.5788 0.0000 0.0000 1.7894 3.0993 0.0000 1.7894 1.0331 8.1994" Properties=species:S:1:pos:R:3 comment="Zr2SnIr | Alexandria via LeMat-Bulk | GGA-PBE | relaxed" energy_ev_per_atom=-7.880 formation_enthalpy_0k_ev_per_atom=-0.39 magmom_total_mub_per_fu=0.000 pbc="T T T"
Ir 0.0000 0.0000 0.0000
Sn 3.5788 2.0662 4.0997
Zr 1.7894 1.0331 1.6836
Zr 5.3682 3.0993 6.5158

---

4
Lattice="4.4486 0.0000 0.0000 0.0000 4.4415 0.0000 0.0000 0.0000 4.6688" Properties=species:S:1:pos:R:3 comment="LiCd2Pb | Alexandria via LeMat-Bulk | GGA-PBE | relaxed" energy_ev_per_atom=-1.987 formation_enthalpy_0k_ev_per_atom=-0.12 magmom_total_mub_per_fu=0.000 pbc="T T T"
Pb 0.0000 2.2207 2.3344
Li 2.2243 0.0000 2.3344
Cd 0.0000 0.0000 0.0000
Cd 2.2243 2.2207 0.0000

---

5
Lattice="-3.8418 3.8418 3.8418 3.8418 -3.8418 3.8418 3.8418 3.8418 -3.8418" Properties=species:S:1:pos:R:3 comment="KCd4 | Alexandria via LeMat-Bulk | GGA-PBE | relaxed" energy_ev_per_atom=-0.582 de_polymorph_ev_per_atom=0.4371 formation_enthalpy_0k_ev_per_atom=0.37 magmom_total_mub_per_fu=0.000 pbc="T T T"
K 0.0000 0.0000 0.0000
Cd -1.9209 1.9209 1.9209
Cd 1.9209 1.9209 1.9209
Cd 1.9209 -1.9209 1.9209
Cd 1.9209 1.9209 -1.9209

---

5
Lattice="-1.5217 3.3009 4.0378 0.9256 -3.9685 3.5930 3.9255 1.2958 0.4200" Properties=species:S:1:pos:R:3 comment="Ba2CrHRh | Alexandria via LeMat-Bulk | GGA-PBE | relaxed" energy_ev_per_atom=-4.597 magmom_total_mub_per_fu=4.766 pbc="T T T"
Cr 1.9628 0.6479 0.2100
Rh 1.6647 0.3141 4.0254
Ba 0.4628 -1.9842 1.7965
Ba -0.7608 1.6504 2.0189
H 0.0000 0.0000 0.0000

---

10
Lattice="4.6804 0.0000 1.8267 1.5232 5.2497 3.0068 -0.4462 0.3371 8.0526" Properties=species:S:1:pos:R:3 comment="TbEr2C2 | Alexandria via LeMat-Bulk | GGA-PBE | relaxed" energy_ev_per_atom=-6.679 formation_enthalpy_0k_ev_per_atom=-0.24 magmom_total_mub_per_fu=0.724 pbc="T T T"
Tb 1.8943 1.1702 2.0559
Tb 3.8632 4.4167 10.8302
Er 3.2707 1.4182 5.4388
Er 2.4868 4.1686 7.4473
Er 0.9929 3.8350 4.3654
Er 4.7645 1.7519 8.5207
C 0.9715 1.4537 4.4202
C 4.7859 4.1331 8.4659
C 2.3559 1.5352 7.7826
C 3.4015 4.0516 5.1035

---

5
Lattice="5.3475 0.0000 0.0000 0.0000 5.3475 0.0000 0.0000 0.0000 5.3475" Properties=species:S:1:pos:R:3 comment="ZrTl3Ge | Alexandria via LeMat-Bulk | GGA-PBE | relaxed" energy_ev_per_atom=-3.204 de_polymorph_ev_per_atom=0.0830 formation_enthalpy_0k_ev_per_atom=0.85 magmom_total_mub_per_fu=0.000 pbc="T T T"
Tl 0.0000 2.6738 0.0000
Tl 0.0000 0.0000 2.6738
Tl 2.6738 0.0000 0.0000
Ge 0.0000 0.0000 0.0000
Zr 2.6738 2.6738 2.6738

---

5
Lattice="3.9063 0.0000 0.0000 0.0000 5.3811 0.0000 0.0000 0.0000 3.9063" Properties=species:S:1:pos:R:3 comment="NaAlRhF2 | Alexandria via LeMat-Bulk | GGA-PBE | relaxed" energy_ev_per_atom=-3.853 raw_formation_energy_kj_per_mol_fu=-300 magmom_total_mub_per_fu=0.906 pbc="T T T"
Na 0.0000 0.0000 0.0000
Rh 1.9531 2.6905 1.9531
Al 0.0000 2.6905 0.0000
F 0.0000 0.0000 1.9531
F 1.9531 0.0000 0.0000

---

8
Lattice="5.4612 0.0000 0.0000 0.0000 5.4612 0.0000 2.7306 2.7306 5.1835" Properties=species:S:1:pos:R:3 comment="ZnTcS2 | Alexandria via LeMat-Bulk | GGA-PBE | relaxed" energy_ev_per_atom=-5.176 raw_formation_energy_kj_per_mol_fu=-78 magmom_total_mub_per_fu=0.000 pbc="T T T"
S 4.1616 1.3653 1.2959
S 1.2995 4.0959 1.2959
S 4.0959 4.0301 3.8876
S 6.8264 6.8922 3.8876
Zn 2.7306 2.7306 0.0000
Zn 2.7306 5.4612 2.5917
Tc 0.0000 0.0000 0.0000
Tc 5.4612 2.7306 2.5917

---

4
Lattice="0.2579 -5.2815 -0.3717 4.3539 -2.7514 -1.2541 2.6651 -3.1559 3.3221" Properties=species:S:1:pos:R:3 comment="LiS2Br | Alexandria via LeMat-Bulk | GGA-PBE | relaxed" energy_ev_per_atom=-2.844 de_polymorph_ev_per_atom=0.1072 raw_formation_energy_kj_per_mol_fu=45 magmom_total_mub_per_fu=0.000 pbc="T T T"
S 6.0035 -9.2310 1.3996
S 1.2733 -1.9578 0.2968
Br 3.6384 -5.5944 0.8482
Li 0.0000 0.0000 0.0000

---

5
Lattice="-0.4408 -4.3631 1.0094 3.8087 0.1865 2.4694 -2.4131 1.0858 3.6398" Properties=species:S:1:pos:R:3 comment="ZnPdRuRh2 | Alexandria via LeMat-Bulk | GGA-PBE | relaxed" energy_ev_per_atom=-4.808 formation_enthalpy_0k_ev_per_atom=1.28 magmom_total_mub_per_fu=4.327 pbc="T T T"
Ru 1.9044 0.0932 1.2347
Zn 0.0000 0.0000 0.0000
Rh -1.2065 0.5429 1.8199
Rh -0.2204 -2.1816 0.5047
Pd 0.4774 -1.5454 3.5593